Density functional theory data (PBEsol) for crystalline SrLaFeCoO6 at its relaxed geometry.

```
SrLaFeCoO6
1.0
5.3482 -0.0390 0.0559
-2.6386 4.6521 -0.0559
2.6386 1.5525 4.3858
Co O La Sr Fe
1 6 1 1 1
Cartesian
0.0000 3.1023 2.1649
-1.3211 3.8783 1.0530
0.0000 4.6554 3.2488
3.9917 2.3069 3.3047
0.0000 1.5492 1.0811
1.3565 3.8587 1.0811
1.3211 2.3263 3.2769
2.6741 1.5316 1.1104
2.6741 4.6339 3.2754
0.0000 0.0000 0.0000
```

Calculated total energy: -7.72 eV per atom
SG: F-43m, No. 216
ΔE_f (raw): -2.177 eV per atom



Density functional theory data (PBEsol) for crystalline Sr3La2Fe4CoO15 at its relaxed geometry.

```
Sr3La2Fe4CoO15
1.0
5.3607 0.0000 0.0000
2.6804 4.6425 0.0000
2.6804 1.5475 10.9554
O Sr Fe La Co
15 3 4 2 1
Cartesian
4.0200 2.3210 3.2956
2.6804 3.0950 5.4777
6.7222 2.3089 9.8116
4.0205 0.7738 5.4777
6.7014 2.3210 3.2956
5.3607 4.6671 9.8116
5.3607 1.5229 1.1438
5.3607 4.6431 3.2956
4.0200 3.8690 7.6597
3.9992 2.3089 9.8116
3.9992 3.8811 1.1438
6.7222 3.8811 1.1438
6.7014 3.8690 7.6597
1.3402 0.7738 5.4777
5.3607 1.5469 7.6597
2.6804 1.5475 1.0566
5.3607 3.0950 5.4777
8.0411 4.6425 9.8987
8.0411 4.6425 6.5634
2.6804 1.5475 4.3920
5.3607 3.0950 2.1641
5.3607 3.0950 8.7913
2.6804 1.5475 7.7214
8.0411 4.6425 3.2340
0.0000 0.0000 0.0000
```

Calculated total energy: -7.74 eV per atom
SG: R-3m, No. 166
ΔE_f (raw): -2.202 eV per atom



Density functional theory data (PBEsol) for crystalline LaYFeCo2 at its relaxed geometry.

```
LaYFeCo2
1.0
-4.0809 2.0787 1.1383
-0.1565 -2.4940 3.9932
2.3605 3.4154 2.2256
La Fe Y Co
1 1 1 2
Cartesian
-0.9385 1.5001 3.6786
-2.0405 1.0393 0.5691
0.0000 0.0000 0.0000
1.1802 1.7077 1.1128
-0.0782 -1.2470 1.9966
```

Calculated total energy: -6.26 eV per atom
DFT formation energy: 1.057 eV/atom
SG: P4/mmm, No. 123



Density functional theory data (PBEsol) for crystalline Li2FeCo at its relaxed geometry.

```
Li2FeCo
1.0
-1.6762 0.8927 1.3945
0.0340 -4.1945 0.7358
3.3792 0.9148 3.4764
Li Co Fe
2 1 1
Cartesian
2.1442 -1.1629 3.3219
3.3619 0.8966 3.4672
0.7766 -3.3126 3.0543
-0.2808 -1.1839 2.4108
```

Calculated total energy: -4.90 eV per atom
DFT formation energy: 0.259 eV/atom
Distance to the lowest polymorph of the same formula: 5.78 kJ per mole of atoms
SG: Cm, No. 8



Density functional theory data (PBEsol) for crystalline Li2FeCo at its relaxed geometry.

```
Li2FeCo
1.0
2.5037 0.0000 0.0000
1.2518 2.1682 0.0000
1.2518 0.7227 8.8558
Li Fe Co
2 1 1
Cartesian
3.7555 2.1682 0.1881
3.7555 2.1682 6.4199
1.2518 0.7227 2.3717
2.5037 1.4455 4.3040
```

Calculated total energy: -4.96 eV per atom
DFT formation energy: 0.199 eV/atom
Distance to the lowest polymorph of the same formula: 0.00 kJ per mole of atoms
SG: R3m, No. 160



Density functional theory data (PBEsol) for crystalline LiFeCo2 at its relaxed geometry.

```
LiFeCo2
1.0
2.7112 0.0000 0.0000
0.0000 3.9326 0.0000
0.0000 0.0000 3.9862
Li Fe Co
1 1 2
Cartesian
0.0000 1.9663 1.9931
1.3556 1.9663 0.0000
1.3556 0.0000 1.9931
0.0000 0.0000 0.0000
```

Calculated total energy: -6.37 eV per atom
DFT formation energy: 0.230 eV/atom
Distance to the lowest polymorph of the same formula: 5.29 kJ per mole of atoms
SG: Pmmm, No. 47



Density functional theory data (PBEsol) for crystalline LiFeCo2 at its relaxed geometry.

```
LiFeCo2
1.0
-2.9980 1.3445 2.0943
-3.6042 -0.0889 -1.4778
-2.6364 -2.4799 1.4425
Co Fe Li
2 1 1
Cartesian
-6.9290 -0.9183 1.5442
-2.3097 -0.3061 0.5147
-4.6193 -0.6122 1.0295
0.0000 0.0000 0.0000
```

Calculated total energy: -6.43 eV per atom
DFT formation energy: 0.175 eV/atom
Distance to the lowest polymorph of the same formula: 0.00 kJ per mole of atoms
SG: Fm-3m, No. 225



Density functional theory data (PBEsol) for crystalline Li2FeCo at its relaxed geometry.

```
Li2FeCo
1.0
-1.6371 1.5191 -0.8754
-1.8792 -3.4358 -1.7679
-2.4291 -0.5330 3.6179
Fe Li Co
1 2 1
Cartesian
-2.0331 0.4931 1.3713
-0.8701 -0.5039 -0.6584
-2.6462 -1.4128 -1.9848
-2.1542 -1.9844 0.9250
```

Calculated total energy: -4.93 eV per atom
DFT formation energy: 0.233 eV/atom
Distance to the lowest polymorph of the same formula: 3.26 kJ per mole of atoms
SG: P2/m, No. 10



Density functional theory data (PBEsol) for crystalline Li2FeCo at its relaxed geometry.

```
Li2FeCo
1.0
2.8113 0.0000 0.0000
0.0000 2.8113 0.0000
0.0000 0.0000 6.8347
Fe Li Co
1 2 1
Cartesian
1.4057 1.4057 4.8111
1.4057 1.4057 1.9831
0.0000 0.0000 6.6302
0.0000 0.0000 3.6623
```

Calculated total energy: -4.93 eV per atom
DFT formation energy: 0.233 eV/atom
Distance to the lowest polymorph of the same formula: 3.23 kJ per mole of atoms
SG: P4mm, No. 99



Density functional theory data (PBEsol) for crystalline LiFeCo2 at its relaxed geometry.

```
LiFeCo2
1.0
2.6865 0.0000 0.0000
0.0000 3.9538 0.0000
0.0000 0.0000 3.9538
Co Li Fe
2 1 1
Cartesian
0.0000 1.9769 0.0000
0.0000 0.0000 1.9769
1.3432 0.0000 0.0000
1.3432 1.9769 1.9769
```

Calculated total energy: -6.42 eV per atom
DFT formation energy: 0.185 eV/atom
Distance to the lowest polymorph of the same formula: 0.96 kJ per mole of atoms
SG: P4/mmm, No. 123



Density functional theory data (PBEsol) for crystalline Li2FeCo at its relaxed geometry.

```
Li2FeCo
1.0
3.0888 0.0000 0.0000
0.0000 3.0888 0.0000
0.0000 0.0000 4.8079
Li Co Fe
2 1 1
Cartesian
0.0000 0.0000 3.6552
0.0000 0.0000 1.1527
1.5444 1.5444 0.0000
1.5444 1.5444 2.4040
```

Calculated total energy: -4.63 eV per atom
DFT formation energy: 0.525 eV/atom
Distance to the lowest polymorph of the same formula: 31.42 kJ per mole of atoms
SG: P4/mmm, No. 123



Density functional theory data (PBEsol) for crystalline Li2FeCoO4 at its relaxed geometry.

```
Li2FeCoO4
1.0
2.7833 0.0000 0.0000
0.0000 4.9266 0.0294
0.0000 -1.6561 4.6066
O Li Co Fe
4 2 1 1
Cartesian
0.0000 3.2736 1.3211
0.0000 -0.0032 3.3150
1.3917 0.7996 1.2940
1.3917 2.4708 3.3421
0.0000 0.0000 0.0000
1.3917 2.4633 0.0147
1.3917 -0.8281 2.3033
0.0000 1.6352 2.3180
```

Calculated total energy: -6.75 eV per atom
Distance to the lowest polymorph of the same formula: 0.44 kJ per mole of atoms
SG: P2/m, No. 10
ΔE_f (raw): -1.550 eV per atom



| no. | calculated density (Mg/m³) | DOS at the Fermi energy (states/eV per atom) |
| --- | --- | --- |
| 1 | 6.7 | 0.413 |
| 2 | 6.5 | 0.331 |
| 3 | 6.4 | 1.878 |
| 4 | 4.5 | 0.466 |
| 5 | 4.4 | 0.844 |
| 6 | 7.1 | 1.090 |
| 7 | 7.2 | 1.071 |
| 8 | 4.7 | 0.741 |
| 9 | 4.0 | 0.928 |
| 10 | 7.1 | 1.045 |
| 11 | 4.7 | 0.842 |
| 12 | 5.1 | 0.425 |